(1)
# CaTaCd2 (PBE, relaxed)
data_CaTaCd2
_cell_length_a 3.1572
_cell_length_b 3.1572
_cell_length_c 31.7270
_cell_angle_alpha 90.00
_cell_angle_beta 90.00
_cell_angle_gamma 120.00
_space_group_name_H-M_alt 'R 3 m'
_space_group_IT_number 160
_space_group_name_Hall 'R 3 -2"'
loop_
_atom_site_label
_atom_site_fract_x
_atom_site_fract_y
_atom_site_fract_z
_atom_site_occupancy
Ca1 0.0000 0.0000 0.0000 1
Ta1 0.0000 0.0000 0.7508 1
Cd1 0.0000 0.0000 0.2445 1
Cd2 0.0000 0.0000 0.4946 1
# Density of states at the Fermi level   3.5 states/eV/f.u.
# VASP energy   -0.1310 Ha/atom
# M_tot   0.00 μB per formula unit
# Energy of formation   0.36 eV/atom



(2)
# CaTaCd2 (PBE, relaxed)
data_CaTaCd2
_cell_length_a 7.170
_cell_length_b 7.170
_cell_length_c 7.170
_cell_angle_alpha 90.00
_cell_angle_beta 90.00
_cell_angle_gamma 90.00
_space_group_name_H-M_alt 'F -4 3 m'
_space_group_IT_number 216
_space_group_name_Hall 'F -4 2 3'
loop_
_atom_site_label
_atom_site_fract_x
_atom_site_fract_y
_atom_site_fract_z
_atom_site_occupancy
Ca1 0.000 0.000 0.000 1
Ta1 0.250 0.250 0.750 1
Cd1 0.000 0.000 0.500 1
Cd2 0.250 0.250 0.250 1
# Density of states at the Fermi level   3.1 states/eV/f.u.
# VASP energy   -0.1223 Ha/atom
# M_tot   2.82 μB per formula unit
# Energy of formation   0.59 eV/atom



(3)
# Ca2TaCd2 (PBE, relaxed)
data_Ca2TaCd2
_cell_length_a 8.549
_cell_length_b 8.549
_cell_length_c 3.479
_cell_angle_alpha 90.00
_cell_angle_beta 90.00
_cell_angle_gamma 90.00
_space_group_name_H-M_alt 'P 4/m b m'
_space_group_IT_number 127
_space_group_name_Hall '-P 4 2ab'
loop_
_atom_site_label
_atom_site_fract_x
_atom_site_fract_y
_atom_site_fract_z
_atom_site_occupancy
Ca1 0.174 0.326 0.000 1
Ta1 0.000 0.000 0.500 1
Cd1 0.127 0.627 0.500 1
# Density of states at the Fermi level   2.5 states/eV/f.u.
# VASP energy   -0.1154 Ha/atom
# M_tot   0.90 μB per formula unit
# Energy of formation   0.40 eV/atom
# Energy relative to the lowest polymorph listed for this composition   0.0000 eV/atom